# 1
DFT (PBEsol) results for an optimized crystal structure of Li10SnP2S12.

abc: 8.720 8.720 12.588
angles: 90.00 90.00 90.00
Space group P4_2mc (No. 105)
Symmetry-distinct sites (fractional):
Li  0.000  0.000  0.000 [2 per cell]
Li  0.211  0.275  0.337 [8 per cell]
Li  0.255  0.277  0.086 [8 per cell]
Li  0.500  0.500  0.097 [2 per cell]
Sn  0.500  0.500  0.350 [2 per cell]
P  0.000  0.000  0.248 [2 per cell]
P  0.000  0.500  0.560 [2 per cell]
S  0.000  0.193  0.839 [4 per cell]
S  0.000  0.197  0.157 [4 per cell]
S  0.000  0.304  0.468 [4 per cell]
S  0.192  0.500  0.652 [4 per cell]
S  0.276  0.500  0.959 [4 per cell]
S  0.278  0.500  0.239 [4 per cell]

Electronic total energy (eV for the cell shown): -224.01
Magnetic moment (μB/atom): 0.00
Raw formation energy (eV per atom): -0.96
ΔE to the lowest computed polymorph (eV per atom): 0.0113

=====

# 2
DFT (PBEsol) results for an optimized crystal structure of Li10SnP2S12.

abc: 8.544 8.826 12.832
angles: 87.84 88.51 89.92
Space group P1 (No. 1)
Symmetry-distinct sites (fractional):
Li  0.000  0.000  0.000 [1 per cell]
Li  0.000  0.478  0.693 [1 per cell]
Li  0.213  0.695  0.105 [1 per cell]
Li  0.231  0.262  0.430 [1 per cell]
Li  0.235  0.234  0.942 [1 per cell]
Li  0.235  0.764  0.592 [1 per cell]
Li  0.240  0.236  0.190 [1 per cell]
Li  0.252  0.761  0.313 [1 per cell]
Li  0.256  0.730  0.868 [1 per cell]
Li  0.262  0.179  0.690 [1 per cell]
Li  0.485  0.472  0.892 [1 per cell]
Li  0.502  0.472  0.378 [1 per cell]
Li  0.691  0.767  0.554 [1 per cell]
Li  0.712  0.257  0.630 [1 per cell]
Li  0.730  0.225  0.957 [1 per cell]
Li  0.730  0.726  0.790 [1 per cell]
Li  0.730  0.793  0.025 [1 per cell]
Li  0.733  0.765  0.282 [1 per cell]
Li  0.738  0.235  0.246 [1 per cell]
Li  0.966  0.021  0.488 [1 per cell]
Sn  0.493  0.497  0.130 [1 per cell]
Sn  0.968  0.993  0.757 [1 per cell]
P  0.474  0.500  0.627 [1 per cell]
P  0.485  0.017  0.444 [1 per cell]
P  0.984  0.476  0.936 [1 per cell]
P  0.994  0.979  0.253 [1 per cell]
S  0.000  0.187  0.320 [1 per cell]
S  0.180  0.463  0.839 [1 per cell]
S  0.191  0.956  0.160 [1 per cell]
S  0.207  0.001  0.850 [1 per cell]
S  0.266  0.509  0.245 [1 per cell]
S  0.274  0.494  0.542 [1 per cell]
S  0.280  0.029  0.532 [1 per cell]
S  0.467  0.703  0.002 [1 per cell]
S  0.471  0.191  0.333 [1 per cell]
S  0.473  0.266  0.039 [1 per cell]
S  0.473  0.704  0.701 [1 per cell]
S  0.487  0.321  0.733 [1 per cell]
S  0.500  0.807  0.384 [1 per cell]
S  0.670  0.491  0.532 [1 per cell]
S  0.676  0.039  0.533 [1 per cell]
S  0.715  0.509  0.234 [1 per cell]
S  0.747  0.981  0.875 [1 per cell]
S  0.791  0.457  0.845 [1 per cell]
S  0.797  0.983  0.164 [1 per cell]
S  0.953  0.770  0.654 [1 per cell]
S  0.982  0.808  0.364 [1 per cell]
S  0.985  0.206  0.636 [1 per cell]
S  0.985  0.294  0.040 [1 per cell]
S  0.988  0.679  0.005 [1 per cell]

Electronic total energy (eV for the cell shown): -224.58
Magnetic moment (μB/atom): 0.00
Raw formation energy (eV per atom): -0.97
ΔE to the lowest computed polymorph (eV per atom): 0.0000

=====

# 3
DFT (PBEsol) results for an optimized crystal structure of SrLiPS2.

abc: 4.697 4.697 4.299
angles: 90.00 90.00 90.00
Space group P4/mmm (No. 123)
Symmetry-distinct sites (fractional):
Sr  0.000  0.000  0.000 [1 per cell]
Li  0.500  0.500  0.500 [1 per cell]
P  0.500  0.500  0.000 [1 per cell]
S  0.000  0.500  0.500 [2 per cell]

Electronic total energy (eV for the cell shown): -20.89
Magnetic moment (μB/atom): 0.00
Raw formation energy (eV per atom): -0.50
ΔE to the lowest computed polymorph (eV per atom): 0.0000

=====

# 4
DFT (PBEsol) results for an optimized crystal structure of SrLiPS2.

abc: 5.529 5.529 5.634
angles: 90.00 90.00 90.00
Space group P4/mmm (No. 123)
Symmetry-distinct sites (fractional):
Sr  0.000  0.000  0.000 [1 per cell]
Li  0.500  0.500  0.500 [1 per cell]
P  0.000  0.000  0.500 [1 per cell]
S  0.000  0.500  0.000 [2 per cell]

Electronic total energy (eV for the cell shown): -16.85
Magnetic moment (μB/atom): 0.60
Raw formation energy (eV per atom): 0.30
ΔE to the lowest computed polymorph (eV per atom): 0.8067

=====

# 5
DFT (PBEsol) results for an optimized crystal structure of LiTePS2.

abc: 4.385 4.385 4.504
angles: 90.00 90.00 90.00
Space group P4/mmm (No. 123)
Symmetry-distinct sites (fractional):
Li  0.000  0.000  0.000 [1 per cell]
Te  0.500  0.500  0.500 [1 per cell]
P  0.000  0.000  0.500 [1 per cell]
S  0.000  0.500  0.000 [2 per cell]

Electronic total energy (eV for the cell shown): -17.67
Magnetic moment (μB/atom): 0.00
Raw formation energy (eV per atom): 0.48

=====

# 6
DFT (PBEsol) results for an optimized crystal structure of LiZnP2S.

abc: 4.294 4.294 4.381
angles: 90.00 90.00 90.00
Space group P4/mmm (No. 123)
Symmetry-distinct sites (fractional):
Li  0.000  0.000  0.000 [1 per cell]
Zn  0.500  0.500  0.500 [1 per cell]
P  0.000  0.500  0.000 [2 per cell]
S  0.000  0.000  0.500 [1 per cell]

Electronic total energy (eV for the cell shown): -16.05
Magnetic moment (μB/atom): 0.00
Raw formation energy (eV per atom): 0.69